(1)
The following is a GGA-PBE calculation of LaScSb after structural relaxation, from the Alexandria database.

Unit cell a=5.102 b=5.102 c=5.102 alpha=60.00 beta=60.00 gamma=60.00
Positions (direct):
La: 0.500 0.500 0.500
Sb: 0.750 0.750 0.750
Sc: 0.000 0.000 0.000

## Properties
- calculated volume (A^3/atom) = 31.29
- crystal system = cubic
- relative energy among the computed polymorphs (eV per atom) = 0.3495
- N(E_F) (states/eV/cell) = 3.31
- raw formation energy (kJ/mol of atoms) = -52
- M_tot (μB/atom) = 0.01

(2)
The following is a GGA-PBE calculation of La2ScSb after structural relaxation, from the Alexandria database.

Unit cell a=9.294 b=9.294 c=9.294 alpha=26.11 beta=26.11 gamma=26.11
Positions (direct):
La: 0.992 0.992 0.992
La: 0.508 0.508 0.508
Sc: 0.750 0.750 0.750
Sb: 0.250 0.250 0.250

## Properties
- calculated volume (A^3/atom) = 34.24
- crystal system = trigonal
- N(E_F) (states/eV/cell) = 2.05
- raw formation energy (kJ/mol of atoms) = -30
- M_tot (μB/atom) = 0.00

(3)
The following is a GGA-PBE calculation of La2ScSb after structural relaxation, from the Alexandria database.

Unit cell a=3.927 b=3.927 c=7.776 alpha=90.00 beta=90.00 gamma=90.00
Last column: magnetic moment on the atom in μB.
Positions (direct):
La: 0.500 0.500 0.286  -0.07
La: 0.000 0.000 0.976  0.01
Sc: 0.500 0.500 0.700  0.18
Sb: 0.000 0.000 0.538  -0.01

## Properties
- calculated volume (A^3/atom) = 29.98
- crystal system = tetragonal
- N(E_F) (states/eV/cell) = 4.86
- raw formation energy (kJ/mol of atoms) = -46
- M_tot (μB/atom) = 0.04

(4)
The following is a GGA-PBE calculation of La2ScSb after structural relaxation, from the Alexandria database.

Unit cell a=5.422 b=5.422 c=5.422 alpha=60.00 beta=60.00 gamma=60.00
Positions (direct):
Sb: 0.500 0.500 0.500
Sc: 0.750 0.750 0.750
La: 0.250 0.250 0.250
La: 0.000 0.000 0.000

## Properties
- calculated volume (A^3/atom) = 28.17
- crystal system = cubic
- N(E_F) (states/eV/cell) = 4.12
- raw formation energy (kJ/mol of atoms) = -29
- M_tot (μB/atom) = 0.00

(5)
The following is a GGA-PBE calculation of LaScSb3 after structural relaxation, from the Alexandria database.

Unit cell a=5.888 b=5.888 c=5.888 alpha=90.00 beta=90.00 gamma=90.00
Positions (direct):
Sc: 0.500 0.500 0.500
Sb: 0.000 0.500 0.000
Sb: 0.000 0.000 0.500
Sb: 0.500 0.000 0.000
La: 0.000 0.000 0.000

## Properties
- calculated volume (A^3/atom) = 40.83
- crystal system = cubic
- relative energy among the computed polymorphs (eV per atom) = 1.3863
- N(E_F) (states/eV/cell) = 7.02
- raw formation energy (kJ/mol of atoms) = 52
- M_tot (μB/atom) = 0.00

(6)
The following is a GGA-PBE calculation of La2SmScSb4 after structural relaxation, from the Alexandria database.

Unit cell a=4.489 b=7.761 c=7.735 alpha=109.58 beta=90.00 gamma=90.00
Positions (direct):
Sc: 0.000 0.000 0.000
La: 0.000 0.500 0.500
La: 0.500 0.000 0.500
Sb: 0.500 0.234 0.229
Sb: 0.500 0.766 0.771
Sb: 0.000 0.754 0.235
Sb: 0.000 0.246 0.765
Sm: 0.500 0.500 0.000

## Properties
- calculated volume (A^3/atom) = 31.74
- crystal system = monoclinic
- N(E_F) (states/eV/cell) = 1.04
- raw formation energy (kJ/mol of atoms) = -110
- M_tot (μB/atom) = 0.00

(7)
The following is a GGA-PBE calculation of LaTb2ScSb4 after structural relaxation, from the Alexandria database.

Unit cell a=6.254 b=6.254 c=7.621 alpha=114.22 beta=114.22 gamma=90.00
Positions (direct):
Sb: 0.198 0.198 0.521
Sb: 0.437 0.938 0.000
Sb: 0.676 0.676 0.479
Sb: 0.938 0.437 0.000
Sc: 0.437 0.437 0.000
Tb: 0.187 0.687 0.500
Tb: 0.687 0.187 0.500
La: 0.937 0.937 0.000

## Properties
- calculated volume (A^3/atom) = 30.35
- crystal system = tetragonal
- N(E_F) (states/eV/cell) = 1.13
- raw formation energy (kJ/mol of atoms) = -105
- M_tot (μB/atom) = 0.00

(8)
The following is a GGA-PBE calculation of La2TbScSb4 after structural relaxation, from the Alexandria database.

Unit cell a=4.471 b=7.735 c=7.695 alpha=109.60 beta=90.00 gamma=90.00
Positions (direct):
Sc: 0.000 0.000 0.000
Sb: 0.000 0.751 0.232
Sb: 0.500 0.236 0.227
Sb: 0.000 0.249 0.768
Sb: 0.500 0.764 0.773
La: 0.500 0.000 0.500
La: 0.000 0.500 0.500
Tb: 0.500 0.500 0.000

## Properties
- calculated volume (A^3/atom) = 31.34
- crystal system = monoclinic
- N(E_F) (states/eV/cell) = 1.12
- raw formation energy (kJ/mol of atoms) = -110
- M_tot (μB/atom) = 0.00